Here is a relaxed structure of Rb2MoSe4 from Alexandria via LeMat-Bulk. Energies are from PBE.

Formation energy (no corrections) in eV per atom: -0.842
Raw total energy in eV per atom: -4.66

abc: 10.361 7.346 13.036
angles: 90.00 90.00 90.00
Space group Pnma (No. 62)
Inequivalent atoms, fractional coordinates:
Rb1 0.044 0.250 0.158 x4
Rb2 0.155 0.750 0.390 x4
Mo1 0.249 0.750 0.072 x4
Se1 0.029 0.750 0.113 x4
Se2 0.152 0.506 0.643 x8
Se3 0.218 0.250 0.395 x4

Here is a relaxed structure of RbTcMoSe2 from Alexandria via LeMat-Bulk. Energies are from PBE.

Formation energy (no corrections) in eV per atom: 0.491
Raw total energy in eV per atom: -5.34

abc: 5.161 5.161 4.882
angles: 90.00 90.00 90.00
Space group P4/mmm (No. 123)
Inequivalent atoms, fractional coordinates:
Rb1 0.000 0.000 0.000 x1
Tc1 0.500 0.500 0.500 x1
Mo1 0.500 0.500 0.000 x1
Se1 0.000 0.500 0.500 x2

Here is a relaxed structure of Rb2TlMoSe4 from Alexandria via LeMat-Bulk. Energies are from PBE.

Formation energy (no corrections) in eV per atom: -0.648
Raw total energy in eV per atom: -4.28

abc: 7.499 13.533 24.704
angles: 90.00 90.00 90.00
Space group Fddd (No. 70, origin choice 2)
Inequivalent atoms, fractional coordinates:
Rb1 0.125 0.125 0.310 x16
Tl1 0.125 0.125 0.125 x8
Mo1 0.125 0.125 0.625 x8
Se1 0.068 0.276 0.820 x32

Here is a relaxed structure of Rb2ZnMoSe from Alexandria via LeMat-Bulk. Energies are from PBE.

Formation energy (no corrections) in eV per atom: 0.658
Raw total energy in eV per atom: -2.85

abc: 6.770 6.770 5.004
angles: 90.00 90.00 90.00
Space group P4/mmm (No. 123)
Inequivalent atoms, fractional coordinates:
Rb1 0.000 0.500 0.000 x2
Zn1 0.000 0.000 0.500 x1
Mo1 0.500 0.500 0.500 x1
Se1 0.000 0.000 0.000 x1

Here is a relaxed structure of RbSi3Mo from Alexandria via LeMat-Bulk. Energies are from PBE.

Formation energy (no corrections) in eV per atom: 2.787
Raw total energy in eV per atom: -2.83
Energy above the lowest structure with this stoichiometry in meV/atom: 2554.3

abc: 5.184 5.184 5.184
angles: 90.00 90.00 90.00
Space group Pm-3m (No. 221)
Inequivalent atoms, fractional coordinates:
Rb1 0.000 0.000 0.000 x1
Si1 0.000 0.000 0.500 x3
Mo1 0.500 0.500 0.500 x1

Here is a relaxed structure of RbSi2Mo from Alexandria via LeMat-Bulk. Energies are from PBE.

Formation energy (no corrections) in eV per atom: 0.467
Raw total energy in eV per atom: -5.19
Energy above the lowest structure with this stoichiometry in meV/atom: 0.0

abc: 6.012 6.012 14.629
angles: 90.00 90.00 90.00
Space group I4_1/amd (No. 141, origin choice 2)
Inequivalent atoms, fractional coordinates:
Rb1 0.000 0.250 0.375 x4
Si1 0.000 0.000 0.000 x8
Mo1 0.000 0.250 0.875 x4

Here is a relaxed structure of RbSiMo2 from Alexandria via LeMat-Bulk. Energies are from PBE.

Formation energy (no corrections) in eV per atom: 1.264
Raw total energy in eV per atom: -5.75

abc: 4.827 4.827 18.292
angles: 90.00 90.00 90.00
Space group I-42d (No. 122)
Inequivalent atoms, fractional coordinates:
Rb1 0.000 0.000 0.000 x4
Si1 0.000 0.000 0.500 x4
Mo1 0.027 0.250 0.625 x8

Here is a relaxed structure of RbSi2Mo from Alexandria via LeMat-Bulk. Energies are from PBE.

Formation energy (no corrections) in eV per atom: 1.147
Raw total energy in eV per atom: -4.51
Energy above the lowest structure with this stoichiometry in meV/atom: 680.2

abc: 6.858 6.858 6.858
angles: 90.00 90.00 90.00
Space group Fm-3m (No. 225)
Inequivalent atoms, fractional coordinates:
Rb1 0.000 0.000 0.000 x4
Si1 0.250 0.250 0.250 x8
Mo1 0.000 0.000 0.500 x4

Here is a relaxed structure of RbSi3Mo from Alexandria via LeMat-Bulk. Energies are from PBE.

Formation energy (no corrections) in eV per atom: 0.233
Raw total energy in eV per atom: -5.38
Energy above the lowest structure with this stoichiometry in meV/atom: 0.0

abc: 4.849 4.849 4.849
angles: 90.00 90.00 90.00
Space group Pm-3m (No. 221)
Inequivalent atoms, fractional coordinates:
Rb1 0.000 0.000 0.000 x1
Si1 0.000 0.500 0.500 x3
Mo1 0.500 0.500 0.500 x1

Here is a relaxed structure of RbSrSi2Mo from Alexandria via LeMat-Bulk. Energies are from PBE.

Formation energy (no corrections) in eV per atom: 2.021
Raw total energy in eV per atom: -2.84

abc: 5.500 5.500 4.913
angles: 90.00 90.00 90.00
Space group P4/mmm (No. 123)
Inequivalent atoms, fractional coordinates:
Rb1 0.000 0.000 0.000 x1
Sr1 0.500 0.500 0.500 x1
Si1 0.000 0.500 0.000 x2
Mo1 0.000 0.000 0.500 x1

Here is a relaxed structure of Rb2TaSiMo from Alexandria via LeMat-Bulk. Energies are from PBE.

Formation energy (no corrections) in eV per atom: 2.009
Raw total energy in eV per atom: -4.00

abc: 6.668 6.668 4.812
angles: 90.00 90.00 90.00
Space group P4/mmm (No. 123)
Inequivalent atoms, fractional coordinates:
Rb1 0.000 0.500 0.000 x2
Ta1 0.000 0.000 0.500 x1
Si1 0.500 0.500 0.000 x1
Mo1 0.500 0.500 0.500 x1

Here is a relaxed structure of Rb2TlSiMo from Alexandria via LeMat-Bulk. Energies are from PBE.

Formation energy (no corrections) in eV per atom: 1.346
Raw total energy in eV per atom: -2.76

abc: 7.108 7.108 4.875
angles: 90.00 90.00 90.00
Space group P4/mmm (No. 123)
Inequivalent atoms, fractional coordinates:
Rb1 0.000 0.500 0.000 x2
Tl1 0.000 0.000 0.000 x1
Si1 0.000 0.000 0.500 x1
Mo1 0.500 0.500 0.500 x1